VASP calculation (PBE) on crystalline Sc3FeAu at its relaxed geometry.

Energy of formation from the pure elements   3.7 eV/f.u.
Density of states at the Fermi level   11.3 states/eV per cell
Polymorph energy (0 for the lowest one)   852 meV/atom

```
Sc3FeAu
1.0
5.084 0.000 0.000
0.000 5.084 0.000
0.000 0.000 5.084
Sc Au Fe
3 1 1
Direct
0.000 0.500 0.000
0.000 0.000 0.500
0.500 0.000 0.000
0.000 0.000 0.000
0.500 0.500 0.500
```

=====

VASP calculation (PBE) on crystalline Al2SiB2Rh5 at its relaxed geometry.

Density of states at the Fermi level   7.3 states/eV per cell
E_form (uncorrected)   -0.64 eV/atom

```
Al2SiB2Rh5
1.0
-0.571 -2.600 1.072
6.663 1.169 6.386
-6.222 3.759 5.804
Al Si B Rh
4 2 4 10
Direct
0.000 0.673 0.173
0.000 0.327 0.827
0.000 0.173 0.327
0.000 0.827 0.673
0.000 0.000 0.000
0.000 0.500 0.500
0.000 0.129 0.629
0.000 0.871 0.371
0.000 0.629 0.871
0.000 0.371 0.129
0.500 0.202 0.086
0.500 0.798 0.914
0.500 0.086 0.798
0.500 0.702 0.414
0.500 0.914 0.202
0.500 0.298 0.586
0.500 0.586 0.702
0.500 0.414 0.298
0.500 0.500 0.000
0.500 0.000 0.500
```

=====

What did the first record say?
VASP calculation (PBE) on crystalline Sc3FeAu at its relaxed geometry.

Energy of formation from the pure elements   3.7 eV/f.u.
Density of states at the Fermi level   11.3 states/eV per cell
Polymorph energy (0 for the lowest one)   852 meV/atom

```
Sc3FeAu
1.0
5.084 0.000 0.000
0.000 5.084 0.000
0.000 0.000 5.084
Sc Au Fe
3 1 1
Direct
0.000 0.500 0.000
0.000 0.000 0.500
0.500 0.000 0.000
0.000 0.000 0.000
0.500 0.500 0.500
```

=====

- Number 1 is which compound?
  Sc3FeAu

=====

- Look up the density of states at the Fermi level of the second one.
  7.3 states/eV per cell